No. 1
Computed, not measured: crystalline Ba2AgTeO6 at its relaxed geometry at the PBE level of DFT.

Results
- Volume: 15.12 Å³/atom
- VASP energy: -56.05 eV per cell
- Crystal system: cubic
- E_form (uncorrected): -1588 kJ/mol of formula units

a = 5.9797 Å, b = 5.9797 Å, c = 5.9797 Å
α = 60.00°, β = 60.00°, γ = 60.00°
Fractional coordinates of all 10 atoms:
Ba: 0.2500 0.2500 0.2500
Ba: 0.7500 0.7500 0.7500
Ag: 0.0000 0.0000 0.0000
Te: 0.5000 0.5000 0.5000
O: 0.2675 0.2675 0.7325
O: 0.2675 0.7325 0.2675
O: 0.2675 0.7325 0.7325
O: 0.7325 0.2675 0.2675
O: 0.7325 0.2675 0.7325
O: 0.7325 0.7325 0.2675


No. 2
Computed, not measured: crystalline SrTl at its relaxed geometry at the PBE level of DFT.

Results
- Volume: 34.57 Å³/atom
- VASP energy: -38.55 eV per cell
- Crystal system: orthorhombic

a = 13.6165 Å, b = 5.7392 Å, c = 7.0772 Å
α = 90.00°, β = 90.00°, γ = 90.00°
Fractional coordinates of all 16 atoms:
Sr: 0.0514 0.2500 0.1822
Sr: 0.1795 0.7500 0.4589
Sr: 0.3205 0.2500 0.9589
Sr: 0.4486 0.7500 0.6822
Sr: 0.5514 0.2500 0.3178
Sr: 0.6795 0.7500 0.0411
Sr: 0.8205 0.2500 0.5411
Sr: 0.9486 0.7500 0.8178
Tl: 0.0898 0.2500 0.6896
Tl: 0.1839 0.7500 0.9566
Tl: 0.3161 0.2500 0.4566
Tl: 0.4102 0.7500 0.1896
Tl: 0.5898 0.2500 0.8104
Tl: 0.6839 0.7500 0.5434
Tl: 0.8161 0.2500 0.0434
Tl: 0.9102 0.7500 0.3104


No. 3
Computed, not measured: crystalline Pa5Bi2C at its relaxed geometry at the PBE level of DFT.

Results
- Volume: 28.46 Å³/atom
- VASP energy: -125.54 eV per cell
- Crystal system: orthorhombic

a = 9.0648 Å, b = 9.0648 Å, c = 12.8812 Å
α = 90.00°, β = 90.00°, γ = 154.52°
Fractional coordinates of all 16 atoms:
Pa: 0.1103 0.8897 0.6316
Pa: 0.1103 0.8897 0.8684
Pa: 0.2353 0.7647 0.2500
Pa: 0.2961 0.7039 0.5326
Pa: 0.2961 0.7039 0.9674
Pa: 0.7039 0.2961 0.0326
Pa: 0.7039 0.2961 0.4674
Pa: 0.7647 0.2353 0.7500
Pa: 0.8897 0.1103 0.1316
Pa: 0.8897 0.1103 0.3684
Bi: 0.0727 0.9273 0.1154
Bi: 0.0727 0.9273 0.3846
Bi: 0.9273 0.0727 0.6154
Bi: 0.9273 0.0727 0.8846
C: 0.2087 0.7913 0.7500
C: 0.7913 0.2087 0.2500


No. 4
Computed, not measured: crystalline BaRuSe2Br at its relaxed geometry at the PBE level of DFT.

Results
- Volume: 26.68 Å³/atom
- VASP energy: -23.62 eV per cell
- Crystal system: tetragonal
- E_form (uncorrected): -365 kJ/mol of formula units

a = 5.0008 Å, b = 5.0008 Å, c = 5.3348 Å
α = 90.00°, β = 90.00°, γ = 90.00°
Fractional coordinates of all 5 atoms:
Ba: 0.0000 0.0000 0.0000
Ru: 0.5000 0.5000 0.5000
Se: 0.0000 0.5000 0.5000
Se: 0.5000 0.0000 0.5000
Br: 0.5000 0.5000 0.0000


No. 5
Computed, not measured: crystalline Pm2Nd3Ga3 at its relaxed geometry at the PBE level of DFT.

Results
- Volume: 27.64 Å³/atom
- VASP energy: -72.25 eV per cell
- Crystal system: orthorhombic

a = 3.7648 Å, b = 5.2819 Å, c = 22.2433 Å
α = 90.00°, β = 90.00°, γ = 90.00°
Fractional coordinates of all 16 atoms:
Pm: 0.0000 0.0000 0.2273
Pm: 0.0000 0.0000 0.7727
Pm: 0.5000 0.5000 0.2727
Pm: 0.5000 0.5000 0.7273
Nd: 0.0000 0.0000 0.0000
Nd: 0.0000 0.5000 0.1158
Nd: 0.0000 0.5000 0.8842
Nd: 0.5000 0.0000 0.3842
Nd: 0.5000 0.0000 0.6158
Nd: 0.5000 0.5000 0.5000
Ga: 0.0000 0.0000 0.5000
Ga: 0.0000 0.5000 0.3822
Ga: 0.0000 0.5000 0.6178
Ga: 0.5000 0.0000 0.1178
Ga: 0.5000 0.0000 0.8822
Ga: 0.5000 0.5000 0.0000


No. 6
Computed, not measured: crystalline Be2NiCl at its relaxed geometry at the PBE level of DFT.

Results
- Volume: 15.01 Å³/atom
- VASP energy: -14.88 eV per cell
- Crystal system: tetragonal
- E_form (uncorrected): 20 kJ/mol of formula units

a = 2.9398 Å, b = 2.9398 Å, c = 6.9476 Å
α = 90.00°, β = 90.00°, γ = 90.00°
Fractional coordinates of all 4 atoms:
Be: 0.0000 0.0000 0.0000
Be: 0.5000 0.5000 0.2141
Ni: 0.5000 0.5000 0.9210
Cl: 0.0000 0.0000 0.3814


No. 7
Computed, not measured: crystalline LaMn2AgOs at its relaxed geometry at the PBE level of DFT.

Results
- Volume: 23.02 Å³/atom
- VASP energy: -34.35 eV per cell
- Crystal system: tetragonal

a = 4.6952 Å, b = 4.6952 Å, c = 5.2201 Å
α = 90.00°, β = 90.00°, γ = 90.00°
Fractional coordinates of all 5 atoms:
La: 0.0000 0.0000 0.0000
Mn: 0.0000 0.5000 0.5000
Mn: 0.5000 0.0000 0.5000
Ag: 0.5000 0.5000 0.0000
Os: 0.5000 0.5000 0.5000


No. 8
Computed, not measured: crystalline Cu2OsPb at its relaxed geometry at the PBE level of DFT.

Results
- Volume: 15.61 Å³/atom
- VASP energy: -41.40 eV per cell
- Crystal system: orthorhombic

a = 3.5224 Å, b = 4.1449 Å, c = 8.5510 Å
α = 90.00°, β = 90.00°, γ = 90.00°
Fractional coordinates of all 8 atoms:
Cu: 0.0000 0.0000 0.0000
Cu: 0.0000 0.5000 0.2771
Cu: 0.5000 0.0000 0.7771
Cu: 0.5000 0.5000 0.5000
Os: 0.0000 0.5000 0.7552
Os: 0.5000 0.0000 0.2552
Pb: 0.0000 0.0000 0.5193
Pb: 0.5000 0.5000 0.0193